# Ce2Cu3TcGe4 (PBE, relaxed)
# * total magnetization: 0.9 Bohr magnetons per cell
# * electronic total energy: -57.27 eV/cell
data_Ce2Cu3TcGe4
_chemical_formula_sum 'Ce2 Cu3 Tc1 Ge4'
_cell_length_a 4.1917
_cell_length_b 4.1917
_cell_length_c 10.1713
_cell_angle_alpha 90.00
_cell_angle_beta 90.00
_cell_angle_gamma 90.00
_symmetry_space_group_name_H-M 'P 1'
_symmetry_Int_Tables_number 1
loop_
_symmetry_equiv_pos_as_xyz
'x,y,z'
loop_
_atom_site_label
_atom_site_type_symbol
_atom_site_fract_x
_atom_site_fract_y
_atom_site_fract_z
_atom_site_occupancy
Cu1 Cu 0.0000 0.5000 0.1280 1
Cu2 Cu 0.5000 0.0000 0.8720 1
Cu3 Cu 0.0000 0.0000 0.5000 1
Ge1 Ge 0.0000 0.5000 0.3646 1
Ge2 Ge 0.0000 0.0000 0.0000 1
Ge3 Ge 0.5000 0.5000 0.0000 1
Ge4 Ge 0.5000 0.0000 0.6354 1
Ce1 Ce 0.5000 0.0000 0.2469 1
Ce2 Ce 0.0000 0.5000 0.7531 1
Tc1 Tc 0.5000 0.5000 0.5000 1

---

# Sr3AlGa2Ag6 (PBE, relaxed)
# * total magnetization: 0.0 Bohr magnetons per cell
# * electronic total energy: -33.80 eV/cell
data_Sr3AlGa2Ag6
_chemical_formula_sum 'Sr3 Al1 Ga2 Ag6'
_cell_length_a 6.2440
_cell_length_b 6.2440
_cell_length_c 8.8607
_cell_angle_alpha 90.00
_cell_angle_beta 90.00
_cell_angle_gamma 120.00
_symmetry_space_group_name_H-M 'P 1'
_symmetry_Int_Tables_number 1
loop_
_symmetry_equiv_pos_as_xyz
'x,y,z'
loop_
_atom_site_label
_atom_site_type_symbol
_atom_site_fract_x
_atom_site_fract_y
_atom_site_fract_z
_atom_site_occupancy
Sr1 Sr 0.6667 0.3333 0.3724 1
Sr2 Sr 0.3333 0.6667 0.6276 1
Sr3 Sr 0.0000 0.0000 0.0000 1
Ag1 Ag 0.8219 0.1781 0.7128 1
Ag2 Ag 0.1781 0.8219 0.2872 1
Ag3 Ag 0.8219 0.6439 0.7128 1
Ag4 Ag 0.3561 0.1781 0.7128 1
Ag5 Ag 0.1781 0.3561 0.2872 1
Ag6 Ag 0.6439 0.8219 0.2872 1
Ga1 Ga 0.3333 0.6667 0.0271 1
Ga2 Ga 0.6667 0.3333 0.9729 1
Al1 Al 0.0000 0.0000 0.5000 1

---

# BaReN3 (PBE, relaxed)
# * total magnetization: 0.0 Bohr magnetons per cell
# * formation energy from raw total energies: -0.198 eV/atom
data_BaReN3
_chemical_formula_sum 'Ba2 Re2 N6'
_cell_length_a 5.3602
_cell_length_b 6.6322
_cell_length_c 7.1922
_cell_angle_alpha 121.22
_cell_angle_beta 125.72
_cell_angle_gamma 74.81
_symmetry_space_group_name_H-M 'P 1'
_symmetry_Int_Tables_number 1
loop_
_symmetry_equiv_pos_as_xyz
'x,y,z'
loop_
_atom_site_label
_atom_site_type_symbol
_atom_site_fract_x
_atom_site_fract_y
_atom_site_fract_z
_atom_site_occupancy
N1 N 0.1175 0.4608 0.2623 1
N2 N 0.4068 0.9947 0.5831 1
N3 N 0.2551 0.9917 0.6750 1
N4 N 0.3458 0.6986 0.1062 1
N5 N 0.8148 0.4675 0.4682 1
N6 N 0.2998 0.7528 0.9486 1
Re1 Re 0.4713 0.6339 0.3826 1
Re2 Re 0.1719 0.6753 0.6009 1
Ba1 Ba 0.8693 0.0346 0.1194 1
Ba2 Ba 0.8315 0.2962 0.7505 1

---

# TiBeRe3 (PBE, relaxed)
# * total magnetization: 0.0 Bohr magnetons per cell
# * relative energy among the computed polymorphs: 0.00 eV per formula unit
data_TiBeRe3
_chemical_formula_sum 'Ti1 Be1 Re3'
_cell_length_a 4.1712
_cell_length_b 4.1712
_cell_length_c 4.1712
_cell_angle_alpha 90.00
_cell_angle_beta 90.00
_cell_angle_gamma 90.00
_symmetry_space_group_name_H-M 'P 1'
_symmetry_Int_Tables_number 1
loop_
_symmetry_equiv_pos_as_xyz
'x,y,z'
loop_
_atom_site_label
_atom_site_type_symbol
_atom_site_fract_x
_atom_site_fract_y
_atom_site_fract_z
_atom_site_occupancy
Re1 Re 0.5000 0.0000 0.0000 1
Re2 Re 0.0000 0.0000 0.5000 1
Re3 Re 0.0000 0.5000 0.0000 1
Ti1 Ti 0.5000 0.5000 0.5000 1
Be1 Be 0.0000 0.0000 0.0000 1

---

# Zr2ZnP (PBE, relaxed)
# * total magnetization: 0.0 Bohr magnetons per cell
# * electronic total energy: -25.99 eV/cell
data_Zr2ZnP
_chemical_formula_sum 'Zr2 Zn1 P1'
_cell_length_a 3.1488
_cell_length_b 3.1488
_cell_length_c 7.6127
_cell_angle_alpha 90.00
_cell_angle_beta 90.00
_cell_angle_gamma 102.00
_symmetry_space_group_name_H-M 'P 1'
_symmetry_Int_Tables_number 1
loop_
_symmetry_equiv_pos_as_xyz
'x,y,z'
loop_
_atom_site_label
_atom_site_type_symbol
_atom_site_fract_x
_atom_site_fract_y
_atom_site_fract_z
_atom_site_occupancy
P1 P 0.5000 0.5000 0.5000 1
Zn1 Zn 0.5000 0.5000 0.0000 1
Zr1 Zr 0.0000 0.0000 0.7259 1
Zr2 Zr 0.0000 0.0000 0.2741 1

---

# HfScSnMo (PBE, relaxed)
# * total magnetization: 0.0 Bohr magnetons per cell
# * electronic total energy: -31.95 eV/cell
data_HfScSnMo
_chemical_formula_sum 'Hf1 Sc1 Sn1 Mo1'
_cell_length_a 4.8177
_cell_length_b 4.8177
_cell_length_c 4.8177
_cell_angle_alpha 60.00
_cell_angle_beta 60.00
_cell_angle_gamma 60.00
_symmetry_space_group_name_H-M 'P 1'
_symmetry_Int_Tables_number 1
loop_
_symmetry_equiv_pos_as_xyz
'x,y,z'
loop_
_atom_site_label
_atom_site_type_symbol
_atom_site_fract_x
_atom_site_fract_y
_atom_site_fract_z
_atom_site_occupancy
Mo1 Mo 0.7500 0.7500 0.7500 1
Sc1 Sc 0.0000 0.0000 0.0000 1
Hf1 Hf 0.5000 0.5000 0.5000 1
Sn1 Sn 0.2500 0.2500 0.2500 1

---

# CrReRu3 (PBE, relaxed)
# * total magnetization: 1.8 Bohr magnetons per cell
# * relative energy among the computed polymorphs: 0.00 eV per formula unit
data_CrReRu3
_chemical_formula_sum 'Cr1 Re1 Ru3'
_cell_length_a 4.3412
_cell_length_b 4.3412
_cell_length_c 4.3412
_cell_angle_alpha 90.00
_cell_angle_beta 90.00
_cell_angle_gamma 90.00
_symmetry_space_group_name_H-M 'P 1'
_symmetry_Int_Tables_number 1
loop_
_symmetry_equiv_pos_as_xyz
'x,y,z'
loop_
_atom_site_label
_atom_site_type_symbol
_atom_site_fract_x
_atom_site_fract_y
_atom_site_fract_z
_atom_site_occupancy
Ru1 Ru 0.0000 0.0000 0.5000 1
Ru2 Ru 0.0000 0.5000 0.0000 1
Ru3 Ru 0.5000 0.0000 0.0000 1
Cr1 Cr 0.0000 0.0000 0.0000 1
Re1 Re 0.5000 0.5000 0.5000 1

---

# YSc3W (PBE, relaxed)
# * total magnetization: 0.0 Bohr magnetons per cell
# * relative energy among the computed polymorphs: 0.00 eV per formula unit
data_YSc3W
_chemical_formula_sum 'Y1 Sc3 W1'
_cell_length_a 5.1395
_cell_length_b 5.1395
_cell_length_c 5.1395
_cell_angle_alpha 90.00
_cell_angle_beta 90.00
_cell_angle_gamma 90.00
_symmetry_space_group_name_H-M 'P 1'
_symmetry_Int_Tables_number 1
loop_
_symmetry_equiv_pos_as_xyz
'x,y,z'
loop_
_atom_site_label
_atom_site_type_symbol
_atom_site_fract_x
_atom_site_fract_y
_atom_site_fract_z
_atom_site_occupancy
Sc1 Sc 0.0000 0.5000 0.0000 1
Sc2 Sc 0.5000 0.0000 0.0000 1
Sc3 Sc 0.0000 0.0000 0.5000 1
W1 W 0.0000 0.0000 0.0000 1
Y1 Y 0.5000 0.5000 0.5000 1

---

# AcLuZn2 (PBE, relaxed)
# * total magnetization: 0.0 Bohr magnetons per cell
# * electronic total energy: -12.23 eV/cell
data_AcLuZn2
_chemical_formula_sum 'Ac1 Lu1 Zn2'
_cell_length_a 3.6727
_cell_length_b 3.6727
_cell_length_c 7.5220
_cell_angle_alpha 90.00
_cell_angle_beta 90.00
_cell_angle_gamma 90.00
_symmetry_space_group_name_H-M 'P 1'
_symmetry_Int_Tables_number 1
loop_
_symmetry_equiv_pos_as_xyz
'x,y,z'
loop_
_atom_site_label
_atom_site_type_symbol
_atom_site_fract_x
_atom_site_fract_y
_atom_site_fract_z
_atom_site_occupancy
Zn1 Zn 0.0000 0.0000 0.2030 1
Zn2 Zn 0.0000 0.0000 0.7970 1
Ac1 Ac 0.5000 0.5000 0.5000 1
Lu1 Lu 0.5000 0.5000 0.0000 1

---

# ReSbAs2 (PBE, relaxed)
# * total magnetization: 0.0 Bohr magnetons per cell
# * formation energy from raw total energies: 0.781 eV/atom
data_ReSbAs2
_chemical_formula_sum 'Re1 Sb1 As2'
_cell_length_a 3.2614
_cell_length_b 4.5721
_cell_length_c 4.9945
_cell_angle_alpha 90.00
_cell_angle_beta 90.00
_cell_angle_gamma 90.00
_symmetry_space_group_name_H-M 'P 1'
_symmetry_Int_Tables_number 1
loop_
_symmetry_equiv_pos_as_xyz
'x,y,z'
loop_
_atom_site_label
_atom_site_type_symbol
_atom_site_fract_x
_atom_site_fract_y
_atom_site_fract_z
_atom_site_occupancy
Re1 Re 0.5000 0.0000 0.5000 1
As1 As 0.5000 0.5000 0.0000 1
As2 As 0.0000 0.0000 0.0000 1
Sb1 Sb 0.0000 0.5000 0.5000 1

---

# Mo2IrRh (PBE, relaxed)
# * total magnetization: 0.0 Bohr magnetons per cell
# * relative energy among the computed polymorphs: 1.46 eV per formula unit
data_Mo2IrRh
_chemical_formula_sum 'Mo2 Ir1 Rh1'
_cell_length_a 4.4171
_cell_length_b 4.4171
_cell_length_c 4.4171
_cell_angle_alpha 60.00
_cell_angle_beta 60.00
_cell_angle_gamma 60.00
_symmetry_space_group_name_H-M 'P 1'
_symmetry_Int_Tables_number 1
loop_
_symmetry_equiv_pos_as_xyz
'x,y,z'
loop_
_atom_site_label
_atom_site_type_symbol
_atom_site_fract_x
_atom_site_fract_y
_atom_site_fract_z
_atom_site_occupancy
Mo1 Mo 0.2500 0.2500 0.2500 1
Mo2 Mo 0.0000 0.0000 0.0000 1
Ir1 Ir 0.5000 0.5000 0.5000 1
Rh1 Rh 0.7500 0.7500 0.7500 1

---

# PaAl5Pd2 (PBE, relaxed)
# * total magnetization: 0.0 Bohr magnetons per cell
# * electronic total energy: -42.85 eV/cell
data_PaAl5Pd2
_chemical_formula_sum 'Pa1 Al5 Pd2'
_cell_length_a 4.0548
_cell_length_b 6.3954
_cell_length_c 6.3954
_cell_angle_alpha 68.92
_cell_angle_beta 71.52
_cell_angle_gamma 71.52
_symmetry_space_group_name_H-M 'P 1'
_symmetry_Int_Tables_number 1
loop_
_symmetry_equiv_pos_as_xyz
'x,y,z'
loop_
_atom_site_label
_atom_site_type_symbol
_atom_site_fract_x
_atom_site_fract_y
_atom_site_fract_z
_atom_site_occupancy
Al1 Al 0.3552 0.8335 0.4561 1
Al2 Al 0.6448 0.5439 0.1665 1
Al3 Al 0.6448 0.1665 0.5439 1
Al4 Al 0.0000 0.5000 0.5000 1
Al5 Al 0.3552 0.4561 0.8335 1
Pd1 Pd 0.2520 0.2479 0.2479 1
Pd2 Pd 0.7480 0.7521 0.7521 1
Pa1 Pa 0.0000 0.0000 0.0000 1